1.
Here is a relaxed BeFe2CoGe crystal from Alexandria. Energies are from PBE.

For the total magnetization, the calculation gives 0.84 μB per cell. As for the formation energy: 0.81 eV/atom. As for the total energy: -28.3 eV/cell. The calculation puts the density of states at the Fermi level at 7.9 states/eV per cell.

It has space group P4/mmm (No. 123), with a = 3.824 Å, b = 3.824 Å, c = 3.978 Å, α = 90.00°, β = 90.00° and γ = 90.00°. The asymmetric unit holds Be at (0.000, 0.000, 0.000), Fe at (0.000, 0.500, 0.000), Co at (0.500, 0.500, 0.500) and Ge at (0.000, 0.000, 0.500).

2.
Here is a relaxed AlRu3 crystal from Alexandria. Energies are from PBE.

For the total magnetization, the calculation gives 0.00 μB per cell. As for the formation energy: -0.21 eV/atom. As for the total energy: -32.4 eV/cell. The calculation puts the density of states at the Fermi level at 3.9 states/eV per cell.

It has space group P4/mmm (No. 123), with a = 2.843 Å, b = 2.843 Å, c = 6.815 Å, α = 90.00°, β = 90.00° and γ = 90.00°. The asymmetric unit holds Al at (0.000, 0.000, 0.000), Ru at (0.000, 0.000, 0.500) and Ru at (0.500, 0.500, 0.237).

3.
Here is a relaxed Ho2PuTl3Te6 crystal from Alexandria. Energies are from PBE.

The formation energy (no corrections) comes out at -0.948 eV/atom. For the total magnetization, the calculation gives 10.03 μB per cell. As for the total energy: -121.6 eV/cell. The calculation puts the density of states at the Fermi level at 28.4 states/eV per cell.

It has space group C2/m (No. 12), with a = 7.739 Å, b = 13.401 Å, c = 8.543 Å, α = 90.00°, β = 107.57° and γ = 90.00°. The asymmetric unit holds Ho at (0.000, 0.167, 0.000), Pu at (0.000, 0.500, 0.000), Tl at (0.000, 0.000, 0.500), Tl at (0.000, 0.335, 0.500), Te at (0.232, 0.000, 0.213) and Te at (0.241, 0.331, 0.214).

4.
Here is a relaxed NdZrCuTc crystal from Alexandria. Energies are from PBE.

For the total magnetization, the calculation gives 0.00 μB per cell. As for the formation energy: -0.03 eV/atom. As for the total energy: -111.6 eV/cell. The calculation puts the density of states at the Fermi level at 8.9 states/eV per cell.

It has space group F-43m (No. 216), with a = 6.836 Å, b = 6.836 Å, c = 6.836 Å, α = 90.00°, β = 90.00° and γ = 90.00°. The asymmetric unit holds Nd at (0.000, 0.000, 0.000), Zr at (0.000, 0.000, 0.500), Cu at (0.250, 0.250, 0.750) and Tc at (0.250, 0.250, 0.250).